Compound: Mn2CrO
Source: Alexandria via LeMat-Bulk
Functional: PBE with a Hubbard U
Structure: optimized geometry

density = 4.8 g cm⁻³
symmetry = Fm-3m
uncorrected energy = -23.12 eV/cell

abc: 4.4278 4.4278 4.4278
angles: 60.00 60.00 60.00
With the nearest neighbours (Å) after each atom.
Atoms (fractional coordinates):
Mn: 0.7500 0.7500 0.7500  4 Cr 2.71, 4 O 2.71
Mn: 0.2500 0.2500 0.2500  4 O 2.71, 4 Cr 2.71
O: 0.0000 0.0000 0.0000  8 Mn 2.71
Cr: 0.5000 0.5000 0.5000  8 Mn 2.71